# 1
# AcAlNi | Alexandria via LeMat-Bulk | GGA-PBE | optimized geometry
data_AcAlNi
_cell_length_a 6.562
_cell_length_b 6.562
_cell_length_c 6.562
_cell_angle_alpha 90.00
_cell_angle_beta 90.00
_cell_angle_gamma 90.00
_symmetry_space_group_name_H-M 'P 21 3'
_symmetry_Int_Tables_number 198
_symmetry_space_group_name_Hall 'P 2ac 2ab 3'
loop_
_atom_site_label
_atom_site_type_symbol
_atom_site_fract_x
_atom_site_fract_y
_atom_site_fract_z
_atom_site_occupancy
Ac1 Ac 0.160 0.160 0.160 1
Al1 Al 0.154 0.346 0.654 1
Ni1 Ni 0.075 0.575 0.925 1
# Distance to the lowest polymorph of the same formula = 0.00 eV/f.u.
# Spin magnetization = 0.00 μB/f.u.
# ΔE_f = -0.464 eV per atom



# 2
# AcAl2Ni3 | Alexandria via LeMat-Bulk | GGA-PBE | optimized geometry
data_AcAl2Ni3
_cell_length_a 9.974
_cell_length_b 7.873
_cell_length_c 5.255
_cell_angle_alpha 90.00
_cell_angle_beta 90.00
_cell_angle_gamma 90.00
_symmetry_space_group_name_H-M 'C m c m'
_symmetry_Int_Tables_number 63
_symmetry_space_group_name_Hall '-C 2c 2'
loop_
_atom_site_label
_atom_site_type_symbol
_atom_site_fract_x
_atom_site_fract_y
_atom_site_fract_z
_atom_site_occupancy
Ac1 Ac 0.000 0.186 0.250 1
Al1 Al 0.206 0.500 0.000 1
Ni1 Ni 0.000 0.429 0.750 1
Ni2 Ni 0.190 0.227 0.750 1
# Spin magnetization = 0.00 μB/f.u.
# ΔE_f = -0.499 eV per atom



# 3
# Ac2AlNi | Alexandria via LeMat-Bulk | GGA-PBE | optimized geometry
data_Ac2AlNi
_cell_length_a 3.778
_cell_length_b 3.778
_cell_length_c 7.835
_cell_angle_alpha 90.00
_cell_angle_beta 90.00
_cell_angle_gamma 90.00
_symmetry_space_group_name_H-M 'P 4/m m m'
_symmetry_Int_Tables_number 123
_symmetry_space_group_name_Hall '-P 4 2'
loop_
_atom_site_label
_atom_site_type_symbol
_atom_site_fract_x
_atom_site_fract_y
_atom_site_fract_z
_atom_site_occupancy
Ac1 Ac 0.000 0.000 0.228 1
Al1 Al 0.500 0.500 0.500 1
Ni1 Ni 0.500 0.500 0.000 1
# Spin magnetization = 0.00 μB/f.u.
# ΔE_f = -0.160 eV per atom



# 4
# Ac12Al3Ni5 | Alexandria via LeMat-Bulk | GGA-PBE | optimized geometry
data_Ac12Al3Ni5
_cell_length_a 18.008
_cell_length_b 18.008
_cell_length_c 18.008
_cell_angle_alpha 90.00
_cell_angle_beta 90.00
_cell_angle_gamma 90.00
_symmetry_space_group_name_H-M 'I a -3 d'
_symmetry_Int_Tables_number 230
_symmetry_space_group_name_Hall '-I 4bd 2c 3'
loop_
_atom_site_label
_atom_site_type_symbol
_atom_site_fract_x
_atom_site_fract_y
_atom_site_fract_z
_atom_site_occupancy
Ac1 Ac 0.026 0.059 0.650 1
Al1 Al 0.000 0.250 0.125 1
Ni1 Ni 0.000 0.000 0.000 1
Ni2 Ni 0.000 0.250 0.375 1
# Spin magnetization = 0.00 μB/f.u.
# ΔE_f = 0.018 eV per atom



# 5
# AcAlNi4 | Alexandria via LeMat-Bulk | GGA-PBE | optimized geometry
data_AcAlNi4
_cell_length_a 7.187
_cell_length_b 7.187
_cell_length_c 7.187
_cell_angle_alpha 90.00
_cell_angle_beta 90.00
_cell_angle_gamma 90.00
_symmetry_space_group_name_H-M 'F -4 3 m'
_symmetry_Int_Tables_number 216
_symmetry_space_group_name_Hall 'F -4 2 3'
loop_
_atom_site_label
_atom_site_type_symbol
_atom_site_fract_x
_atom_site_fract_y
_atom_site_fract_z
_atom_site_occupancy
Ac1 Ac 0.000 0.000 0.000 1
Al1 Al 0.250 0.250 0.250 1
Ni1 Ni 0.123 0.123 0.623 1
# Distance to the lowest polymorph of the same formula = 0.28 eV/f.u.
# Spin magnetization = 0.00 μB/f.u.
# ΔE_f = -0.206 eV per atom



# 6
# AcAlNi | Alexandria via LeMat-Bulk | GGA-PBE | optimized geometry
data_AcAlNi
_cell_length_a 11.895
_cell_length_b 4.333
_cell_length_c 5.500
_cell_angle_alpha 90.00
_cell_angle_beta 101.28
_cell_angle_gamma 90.00
_symmetry_space_group_name_H-M 'C 1 2/m 1'
_symmetry_Int_Tables_number 12
loop_
_symmetry_equiv_pos_as_xyz
'x,y,z'
'-x,-y,-z'
'-x,y,-z'
'x,-y,z'
'x+1/2,y+1/2,z'
'-x+1/2,-y+1/2,-z'
'-x+1/2,y+1/2,-z'
'x+1/2,-y+1/2,z'
loop_
_atom_site_label
_atom_site_type_symbol
_atom_site_fract_x
_atom_site_fract_y
_atom_site_fract_z
_atom_site_occupancy
Ac1 Ac 0.118 0.000 0.316 1
Al1 Al 0.107 0.500 0.827 1
Ni1 Ni 0.208 0.000 0.871 1
# Distance to the lowest polymorph of the same formula = 0.05 eV/f.u.
# Spin magnetization = 0.00 μB/f.u.
# ΔE_f = -0.447 eV per atom



# 7
# Ac2Al12Ni7 | Alexandria via LeMat-Bulk | GGA-PBE | optimized geometry
data_Ac2Al12Ni7
_cell_length_a 9.7397
_cell_length_b 9.7397
_cell_length_c 4.1179
_cell_angle_alpha 90.00
_cell_angle_beta 90.00
_cell_angle_gamma 120.00
_symmetry_space_group_name_H-M 'P -6'
_symmetry_Int_Tables_number 174
loop_
_symmetry_equiv_pos_as_xyz
'x,y,z'
'-x+y,-x,-z'
'-y,x-y,z'
'x,y,-z'
'-x+y,-x,z'
'-y,x-y,-z'
loop_
_atom_site_label
_atom_site_type_symbol
_atom_site_fract_x
_atom_site_fract_y
_atom_site_fract_z
_atom_site_occupancy
Ac1 Ac 0.0000 0.0000 0.0000 1
Ac2 Ac 0.3333 0.6667 0.5000 1
Al1 Al 0.0185 0.7372 0.5000 1
Al2 Al 0.1391 0.3832 0.0000 1
Al3 Al 0.3847 0.1758 0.0000 1
Al4 Al 0.5470 0.1282 0.5000 1
Ni1 Ni 0.0154 0.5664 0.0000 1
Ni2 Ni 0.2544 0.0101 0.5000 1
Ni3 Ni 0.6667 0.3333 0.0000 1
# Spin magnetization = 0.00 μB/f.u.
# ΔE_f = -0.526 eV per atom